Record 1
Material: Na3InGa8
Method: DFT, PBE-GGA
State: optimized geometry

a = 9.735 Å, b = 9.735 Å, c = 9.735 Å
α = 33.76°, β = 33.76°, γ = 33.76°
Element x y z (fractional)
Na 0.000 0.000 0.000
Na 0.123 0.123 0.123
Na 0.501 0.501 0.501
In 0.629 0.629 0.629
Ga 0.062 0.062 0.560
Ga 0.062 0.560 0.062
Ga 0.067 0.561 0.561
Ga 0.314 0.314 0.314
Ga 0.560 0.062 0.062
Ga 0.561 0.067 0.561
Ga 0.561 0.561 0.067
Ga 0.811 0.811 0.811

Computed properties:
Energy of formation   -1.03 eV per formula unit
ρ   4.85 g/cm³
Symmetry   R3m (160)

***

Record 2
Material: GaCo3Tc
Method: DFT, PBE-GGA
State: optimized geometry

a = 4.424 Å, b = 4.424 Å, c = 4.424 Å
α = 90.00°, β = 90.00°, γ = 90.00°
Element x y z (fractional)
Ga 0.000 0.000 0.000
Co 0.000 0.500 0.500
Co 0.500 0.000 0.500
Co 0.500 0.500 0.000
Tc 0.500 0.500 0.500

Computed properties:
Energy of formation   6.73 eV per formula unit
ρ   6.61 g/cm³
Symmetry   Pm-3m (221)
Polymorph energy (0 for the lowest one)   128 meV per atom